(1)
Here is a relaxed ZnHClF2 crystal from Alexandria. Energies are from PBE-GGA.

```
ZnHClF2
1.0
3.726 0.000 0.000
0.000 3.726 0.000
0.000 0.000 6.750
Zn H Cl F
1 1 1 2
direct
0.000 0.000 0.000
0.000 0.000 0.500
0.500 0.500 0.500
0.000 0.500 0.000
0.500 0.000 0.000
```

## Properties
Space-group type: P4/mmm, No. 123
Size of the total moment (μB/atom): 0.0177
DFT total energy (Ry/atom): -0.203
Crystal system: tetragonal



(2)
Here is a relaxed HfClF2 crystal from Alexandria. Energies are from PBE-GGA.

```
HfClF2
1.0
0.000 2.934 2.934
2.934 0.000 2.934
2.934 2.934 0.000
Hf Cl F
1 1 2
direct
0.000 0.000 0.000
0.500 0.500 0.500
0.250 0.250 0.250
0.750 0.750 0.750
```

## Properties
Space-group type: Fm-3m, No. 225
Size of the total moment (μB/atom): 0.0000
Distance to the lowest polymorph of the same formula (meV/atom): 530
Formation energy from raw total energies (eV/atom): -1.757
Crystal system: cubic



(3)
Here is a relaxed HfCl2F crystal from Alexandria. Energies are from PBE-GGA.

```
HfCl2F
1.0
0.000 3.143 3.143
3.143 0.000 3.143
3.143 3.143 0.000
Hf Cl F
1 2 1
direct
0.000 0.000 0.000
0.250 0.250 0.250
0.750 0.750 0.750
0.500 0.500 0.500
```

## Properties
Space-group type: Fm-3m, No. 225
Size of the total moment (μB/atom): 0.2480
Distance to the lowest polymorph of the same formula (meV/atom): 749
Formation energy from raw total energies (eV/atom): -1.333
Crystal system: cubic



Q: size of the total moment of number 1 (ZnHClF2)?
A: 0.0177 μB/atom